Record 1
First-principles (PBE) data for ZrTl2Br after structural relaxation, as listed in Alexandria.

Output
Formation energy without anion corrections = -0.10 eV/atom
Offset from the most stable computed form = 298 meV per atom
Space-group type = Immm, No. 71

a = 7.926 Å, b = 7.926 Å, c = 7.926 Å
α = 156.41°, β = 145.63°, γ = 42.11°
Fractional coordinates of all 4 atoms:
Zr 0.750 0.250 0.500
Tl 0.560 0.560 0.000
Tl 0.940 0.940 0.000
Br 0.250 0.750 0.500

=====

Record 2
First-principles (PBE) data for DyCoC after structural relaxation, as listed in Alexandria.

Output
Offset from the most stable computed form = 223 meV per atom
Space-group type = P-6m2, No. 187
Calculated formation energy = -98.9 meV/atom

a = 3.931 Å, b = 3.449 Å, c = 3.449 Å
α = 120.00°, β = 90.00°, γ = 90.00°
Fractional coordinates of all 3 atoms:
C 0.167 0.000 0.000
Dy 0.667 0.667 0.333
Co 0.167 0.333 0.667

=====

Record 3
First-principles (PBE) data for Ir2RuW after structural relaxation, as listed in Alexandria.

Output
Offset from the most stable computed form = 442 meV per atom
Space-group type = P4/mmm, No. 123
Calculated formation energy = 176.0 meV/atom

a = 3.328 Å, b = 3.328 Å, c = 5.468 Å
α = 90.00°, β = 90.00°, γ = 90.00°
Fractional coordinates of all 4 atoms:
Ru 0.500 0.500 0.250
Ir 0.000 0.000 0.496
Ir 0.000 0.000 0.004
W 0.500 0.500 0.750

=====

Record 4
First-principles (PBE) data for LaZn2Cd4 after structural relaxation, as listed in Alexandria.

Output
Space-group type = Cmmm, No. 65
Calculated formation energy = -242.1 meV/atom

a = 4.552 Å, b = 4.530 Å, c = 7.957 Å
α = 106.54°, β = 90.00°, γ = 90.00°
Fractional coordinates of all 7 atoms:
Cd 0.500 0.179 0.358
Cd 0.000 0.319 0.639
Cd 0.500 0.821 0.642
Cd 0.000 0.681 0.361
Zn 0.500 0.421 0.842
Zn 0.500 0.579 0.158
La 0.000 0.000 0.000

=====

Record 5
First-principles (PBE) data for Sr3ZnRh after structural relaxation, as listed in Alexandria.

Output
Offset from the most stable computed form = 169 meV per atom
Space-group type = Pm-3m, No. 221
Calculated formation energy = -66.7 meV/atom

a = 5.784 Å, b = 5.784 Å, c = 5.784 Å
α = 90.00°, β = 90.00°, γ = 90.00°
Fractional coordinates of all 5 atoms:
Sr 0.500 0.000 0.000
Sr 0.000 0.500 0.000
Sr 0.000 0.000 0.500
Rh 0.000 0.000 0.000
Zn 0.500 0.500 0.500

=====

Record 6
First-principles (PBE) data for CdSiBr2 after structural relaxation, as listed in Alexandria.

Output
Formation energy without anion corrections = -0.16 eV/atom
Offset from the most stable computed form = 5 meV per atom
Space-group type = R3m, No. 160

a = 8.978 Å, b = 8.978 Å, c = 8.978 Å
α = 25.41°, β = 25.41°, γ = 25.41°
Fractional coordinates of all 4 atoms:
Cd 0.491 0.491 0.491
Si 0.755 0.755 0.755
Br 0.222 0.222 0.222
Br 0.031 0.031 0.031

=====

Record 7
First-principles (PBE) data for Mn2SiNi2 after structural relaxation, as listed in Alexandria.

Output
Formation energy without anion corrections = 0.16 eV/atom
Space-group type = P4/mbm, No. 127

a = 5.650 Å, b = 5.650 Å, c = 3.670 Å
α = 90.00°, β = 90.00°, γ = 90.00°
Fractional coordinates of all 10 atoms:
Ni 0.142 0.358 0.000
Ni 0.642 0.142 0.000
Ni 0.858 0.642 0.000
Ni 0.358 0.858 0.000
Si 0.000 0.000 0.000
Si 0.500 0.500 0.000
Mn 0.151 0.651 0.500
Mn 0.651 0.849 0.500
Mn 0.349 0.151 0.500
Mn 0.849 0.349 0.500

=====

Record 8
First-principles (PBE) data for Pm12Dy7Er after structural relaxation, as listed in Alexandria.

Output
Offset from the most stable computed form = 0 meV per atom
Space-group type = R-3, No. 148
Calculated formation energy = 239.2 meV/atom

a = 6.196 Å, b = 11.507 Å, c = 11.507 Å
α = 116.85°, β = 100.34°, γ = 100.34°
Fractional coordinates of all 20 atoms:
Pm 0.413 0.353 0.999
Pm 0.913 0.413 0.826
Pm 0.500 0.588 0.413
Pm 0.414 0.001 0.354
Pm 0.940 0.354 0.353
Pm 0.587 0.647 0.001
Pm 0.500 0.412 0.587
Pm 0.913 0.826 0.412
Pm 0.060 0.646 0.647
Pm 0.087 0.174 0.588
Pm 0.087 0.587 0.174
Pm 0.586 0.999 0.646
Dy 0.875 0.001 0.245
Dy 0.126 0.756 0.001
Dy 0.370 0.245 0.244
Dy 0.874 0.244 0.999
Dy 0.500 0.000 0.000
Dy 0.125 0.999 0.755
Dy 0.630 0.755 0.756
Er 0.000 0.000 0.000

=====

Record 9
First-principles (PBE) data for SrPaAu2 after structural relaxation, as listed in Alexandria.

Output
Offset from the most stable computed form = 96 meV per atom
Space-group type = R-3m, No. 166
Calculated formation energy = -321.2 meV/atom

a = 4.131 Å, b = 4.131 Å, c = 8.273 Å
α = 75.54°, β = 75.54°, γ = 60.00°
Fractional coordinates of all 4 atoms:
Au 0.738 0.738 0.786
Au 0.262 0.262 0.214
Sr 0.500 0.500 0.500
Pa 0.000 0.000 0.000

=====

Record 10
First-principles (PBE) data for LiP2BrCl after structural relaxation, as listed in Alexandria.

Output
Formation energy without anion corrections = 0.58 eV/atom
Offset from the most stable computed form = 0 meV per atom
Space-group type = P4/mmm, No. 123

a = 4.716 Å, b = 4.716 Å, c = 4.415 Å
α = 90.00°, β = 90.00°, γ = 90.00°
Fractional coordinates of all 5 atoms:
P 0.000 0.500 0.000
P 0.500 0.000 0.000
Br 0.500 0.500 0.500
Li 0.000 0.000 0.000
Cl 0.000 0.000 0.500

=====

Record 11
First-principles (PBE) data for LaSe2F after structural relaxation, as listed in Alexandria.

Output
Formation energy without anion corrections = -2.21 eV/atom
Offset from the most stable computed form = 0 meV per atom
Space-group type = P-1, No. 2

a = 4.236 Å, b = 5.877 Å, c = 8.456 Å
α = 95.44°, β = 97.53°, γ = 110.41°
Fractional coordinates of all 8 atoms:
La 0.295 0.980 0.708
La 0.705 0.020 0.292
F 0.184 0.913 0.417
F 0.816 0.087 0.583
Se 0.423 0.456 0.352
Se 0.019 0.805 0.023
Se 0.577 0.544 0.648
Se 0.981 0.195 0.977

=====

Record 12
First-principles (PBE) data for Pm2Cd3Pd after structural relaxation, as listed in Alexandria.

Output
Space-group type = Pmm2, No. 25
Calculated formation energy = -450.8 meV/atom

a = 3.538 Å, b = 4.880 Å, c = 8.554 Å
α = 90.00°, β = 90.00°, γ = 90.00°
Fractional coordinates of all 6 atoms:
Pm 0.000 0.500 0.032
Pm 0.000 0.000 0.477
Cd 0.500 0.000 0.166
Cd 0.500 0.500 0.662
Cd 0.500 0.000 0.830
Pd 0.500 0.500 0.333

=====

Record 13
First-principles (PBE) data for BaI2NCl after structural relaxation, as listed in Alexandria.

Output
Formation energy without anion corrections = 0.30 eV/atom
Offset from the most stable computed form = 76 meV per atom
Space-group type = P4/mmm, No. 123

a = 6.811 Å, b = 6.811 Å, c = 5.494 Å
α = 90.00°, β = 90.00°, γ = 90.00°
Fractional coordinates of all 5 atoms:
Cl 0.500 0.500 0.500
N 0.000 0.000 0.500
Ba 0.000 0.000 0.000
I 0.000 0.500 0.000
I 0.500 0.000 0.000

=====

Record 14
First-principles (PBE) data for Hf6ZrTl after structural relaxation, as listed in Alexandria.

Output
Space-group type = Amm2, No. 38
Calculated formation energy = 32.5 meV/atom

a = 5.123 Å, b = 6.366 Å, c = 6.366 Å
α = 120.05°, β = 90.00°, γ = 90.00°
Fractional coordinates of all 8 atoms:
Hf 0.500 0.168 0.832
Hf 0.500 0.169 0.338
Hf 0.500 0.662 0.831
Hf 0.000 0.835 0.668
Hf 0.000 0.333 0.667
Hf 0.000 0.332 0.165
Zr 0.000 0.835 0.165
Tl 0.500 0.666 0.334

=====

Record 15
First-principles (PBE) data for Li5NdPt2 after structural relaxation, as listed in Alexandria.

Output
Space-group type = Immm, No. 71
Calculated formation energy = -495.7 meV/atom

a = 3.960 Å, b = 6.528 Å, c = 6.528 Å
α = 76.85°, β = 72.34°, γ = 72.34°
Fractional coordinates of all 8 atoms:
Pt 0.728 0.772 0.772
Pt 0.272 0.228 0.228
Li 0.331 0.851 0.487
Li 0.331 0.487 0.851
Li 0.669 0.513 0.149
Li 0.669 0.149 0.513
Li 0.000 0.500 0.500
Nd 0.000 0.000 0.000

=====

Record 16
First-principles (PBE) data for V2AsRh after structural relaxation, as listed in Alexandria.

Output
Space-group type = P4/mmm, No. 123
Calculated formation energy = -292.5 meV/atom

a = 4.073 Å, b = 3.687 Å, c = 3.687 Å
α = 90.00°, β = 90.00°, γ = 90.00°
Fractional coordinates of all 4 atoms:
V 0.000 0.000 0.500
V 0.000 0.500 0.000
As 0.500 0.000 0.000
Rh 0.500 0.500 0.500

=====

Record 17
First-principles (PBE) data for KYSb2 after structural relaxation, as listed in Alexandria.

Output
Formation energy without anion corrections = 0.06 eV/atom
Offset from the most stable computed form = 719 meV per atom
Space-group type = R3m, No. 160

a = 11.346 Å, b = 11.346 Å, c = 11.346 Å
α = 19.03°, β = 19.03°, γ = 19.03°
Fractional coordinates of all 4 atoms:
Sb 0.255 0.255 0.255
Sb 0.987 0.987 0.987
Y 0.517 0.517 0.517
K 0.741 0.741 0.741

=====

Record 18
First-principles (PBE) data for PmSmTmHg after structural relaxation, as listed in Alexandria.

Output
Offset from the most stable computed form = 207 meV per atom
Space-group type = F-43m, No. 216
Calculated formation energy = -21.7 meV/atom

a = 5.451 Å, b = 5.451 Å, c = 5.451 Å
α = 60.00°, β = 60.00°, γ = 60.00°
Fractional coordinates of all 4 atoms:
Tm 0.000 0.000 0.000
Hg 0.250 0.250 0.250
Pm 0.750 0.750 0.750
Sm 0.500 0.500 0.500

=====

Record 19
First-principles (PBE) data for PrNd3Pu2Se6 after structural relaxation, as listed in Alexandria.

Output
Formation energy without anion corrections = -1.75 eV/atom
Space-group type = C2/m, No. 12

a = 7.278 Å, b = 7.278 Å, c = 7.309 Å
α = 99.54°, β = 99.54°, γ = 120.04°
Fractional coordinates of all 12 atoms:
Se 0.422 0.082 0.246
Se 0.082 0.422 0.246
Se 0.918 0.578 0.754
Se 0.741 0.741 0.244
Se 0.578 0.918 0.754
Se 0.259 0.259 0.756
Nd 0.836 0.164 0.500
Nd 0.164 0.836 0.500
Nd 0.500 0.500 0.500
Pr 0.000 0.000 0.000
Pu 0.333 0.667 0.000
Pu 0.667 0.333 0.000

=====

Record 20
First-principles (PBE) data for Y3Tl2C after structural relaxation, as listed in Alexandria.

Output
Space-group type = Cmmm, No. 65
Calculated formation energy = -388.4 meV/atom

a = 4.970 Å, b = 7.284 Å, c = 8.442 Å
α = 90.00°, β = 72.88°, γ = 90.00°
Fractional coordinates of all 12 atoms:
Y 0.106 0.000 0.789
Y 0.500 0.250 0.000
Y 0.500 0.750 0.000
Y 0.106 0.500 0.789
Y 0.894 0.500 0.211
Y 0.894 0.000 0.211
Tl 0.306 0.250 0.388
Tl 0.306 0.750 0.388
Tl 0.694 0.750 0.612
Tl 0.694 0.250 0.612
C 0.000 0.250 0.000
C 0.000 0.750 0.000

=====

Record 21
First-principles (PBE) data for ZnPtRh2 after structural relaxation, as listed in Alexandria.

Output
Space-group type = I4/mmm, No. 139
Calculated formation energy = -211.6 meV/atom

a = 4.701 Å, b = 4.701 Å, c = 4.701 Å
α = 131.06°, β = 131.06°, γ = 71.72°
Fractional coordinates of all 4 atoms:
Pt 0.750 0.250 0.500
Rh 0.500 0.500 0.000
Rh 0.000 0.000 0.000
Zn 0.250 0.750 0.500

=====

Record 22
First-principles (PBE) data for PtRhBr2 after structural relaxation, as listed in Alexandria.

Output
Formation energy without anion corrections = 0.29 eV/atom
Offset from the most stable computed form = 320 meV per atom
Space-group type = Cm, No. 8

a = 4.954 Å, b = 4.954 Å, c = 6.335 Å
α = 77.93°, β = 77.93°, γ = 42.04°
Fractional coordinates of all 4 atoms:
Br 0.931 0.931 0.143
Br 0.715 0.715 0.677
Rh 0.271 0.271 0.391
Pt 0.583 0.583 0.288

=====

Record 23
First-principles (PBE) data for TmAlZnAg after structural relaxation, as listed in Alexandria.

Output
Space-group type = F-43m, No. 216
Calculated formation energy = -311.3 meV/atom

a = 4.728 Å, b = 4.728 Å, c = 4.728 Å
α = 60.00°, β = 60.00°, γ = 60.00°
Fractional coordinates of all 4 atoms:
Tm 0.000 0.000 0.000
Al 0.500 0.500 0.500
Ag 0.250 0.250 0.250
Zn 0.750 0.750 0.750

=====

Record 24
First-principles (PBE) data for Er3P2Rh9Pb after structural relaxation, as listed in Alexandria.

Output
Space-group type = P-3m1, No. 164
Calculated formation energy = -613.5 meV/atom

a = 6.039 Å, b = 6.039 Å, c = 9.497 Å
α = 90.00°, β = 90.00°, γ = 120.00°
Fractional coordinates of all 15 atoms:
Rh 0.701 0.851 0.261
Rh 0.500 0.000 0.000
Rh 0.149 0.851 0.261
Rh 0.500 0.500 0.000
Rh 0.851 0.149 0.739
Rh 0.000 0.500 0.000
Rh 0.851 0.701 0.739
Rh 0.299 0.149 0.739
Rh 0.149 0.299 0.261
P 0.667 0.333 0.843
P 0.333 0.667 0.157
Pb 0.000 0.000 0.500
Er 0.333 0.667 0.743
Er 0.000 0.000 0.000
Er 0.667 0.333 0.257

=====

Record 25
First-principles (PBE) data for Pa2Te3 after structural relaxation, as listed in Alexandria.

Output
Formation energy without anion corrections = -0.62 eV/atom
Offset from the most stable computed form = 143 meV per atom
Space-group type = R-3c, No. 167

a = 7.557 Å, b = 7.557 Å, c = 8.429 Å
α = 63.37°, β = 63.37°, γ = 60.00°
Fractional coordinates of all 10 atoms:
Pa 0.332 0.332 0.003
Pa 0.168 0.168 0.497
Pa 0.832 0.832 0.503
Pa 0.668 0.668 0.997
Te 0.914 0.250 0.250
Te 0.414 0.086 0.750
Te 0.586 0.914 0.250
Te 0.250 0.586 0.250
Te 0.750 0.414 0.750
Te 0.086 0.750 0.750

=====

Record 26
First-principles (PBE) data for RbPrVN3 after structural relaxation, as listed in Alexandria.

Output
Formation energy without anion corrections = -0.49 eV/atom
Space-group type = C2/m, No. 12

a = 3.877 Å, b = 7.151 Å, c = 8.311 Å
α = 104.76°, β = 90.00°, γ = 105.73°
Fractional coordinates of all 12 atoms:
N 0.873 0.745 0.225
N 0.155 0.310 0.373
N 0.845 0.690 0.627
N 0.127 0.255 0.775
N 0.489 0.978 0.671
N 0.511 0.022 0.329
Rb 0.360 0.721 0.935
Rb 0.640 0.279 0.065
Pr 0.658 0.316 0.582
Pr 0.342 0.684 0.418
V 0.008 0.015 0.322
V 0.992 0.985 0.678